[1]
TeC after structural relaxation, computed with PBE.

Crystal system   cubic
Offset from the most stable computed form   1.225 eV per atom

Structure (POSCAR):
```
TeC
1.0
6.694 0.000 0.000
0.000 6.694 0.000
0.000 0.000 6.694
Te C
6 6
Cartesian
1.674 0.000 3.347
5.021 0.000 3.347
0.000 3.347 1.674
0.000 3.347 5.021
3.347 1.674 0.000
3.347 5.021 0.000
1.674 3.347 0.000
5.021 3.347 0.000
3.347 0.000 1.674
3.347 0.000 5.021
0.000 1.674 3.347
0.000 5.021 3.347
```

=====

[2]
Te2C after structural relaxation, computed with PBE.

Crystal system   cubic
Offset from the most stable computed form   1.790 eV per atom

Structure (POSCAR):
```
Te2C
1.0
-1.980 -5.472 -2.167
1.561 -5.248 2.930
-4.301 -3.206 3.128
Te C
4 2
Cartesian
-1.580 -4.477 -0.597
-2.740 -3.344 2.050
-0.590 -1.741 0.486
0.190 -4.365 1.951
-2.360 -6.963 1.945
-3.540 -10.445 2.918
```

=====

[3]
Te2C after structural relaxation, computed with PBE.

Crystal system   trigonal
Offset from the most stable computed form   0.743 eV per atom

Structure (POSCAR):
```
Te2C
1.0
2.923 -5.062 0.000
2.923 5.062 0.000
0.000 0.000 6.369
Te C
6 3
Cartesian
1.908 0.000 4.715
1.969 -3.410 4.715
1.969 3.410 4.715
0.954 1.652 1.654
0.954 -1.652 1.654
3.937 0.000 1.654
0.000 0.000 0.000
2.923 1.687 3.184
2.923 -1.687 3.184
```

=====

[4]
TeC after structural relaxation, computed with PBE.

Crystal system   hexagonal
Offset from the most stable computed form   0.603 eV per atom

Structure (POSCAR):
```
TeC
1.0
2.915 -5.049 0.000
2.915 5.049 0.000
0.000 0.000 5.846
Te C
4 4
Cartesian
0.000 0.000 1.462
0.000 0.000 4.385
2.915 1.683 4.385
2.915 -1.683 1.462
2.915 1.683 0.830
2.915 -1.683 3.753
2.915 -1.683 5.016
2.915 1.683 2.093
```

=====

[5]
TeC2 after structural relaxation, computed with PBE.

Crystal system   orthorhombic
Offset from the most stable computed form   0.922 eV per atom

Structure (POSCAR):
```
TeC2
1.0
1.711 6.757 0.769
-1.711 6.757 0.769
0.000 0.954 4.318
Te C
2 4
Cartesian
0.000 3.131 3.836
0.000 11.336 2.021
0.000 11.310 4.291
0.000 8.340 4.948
0.000 6.128 0.909
0.000 3.157 1.565
```

=====

[6]
Te6C7 after structural relaxation, computed with PBE.

Crystal system   trigonal

Structure (POSCAR):
```
Te6C7
1.0
17.125 0.049 0.029
16.564 4.346 0.029
16.564 2.161 3.771
C Te
7 6
Cartesian
22.408 2.924 0.896
22.227 3.606 2.106
22.408 2.217 2.106
27.846 3.633 2.932
27.846 4.339 1.723
28.027 2.951 1.723
25.127 3.278 1.914
2.846 0.371 0.217
47.408 6.186 3.612
9.810 1.280 0.747
40.444 5.277 3.081
15.807 2.062 1.204
34.446 4.494 2.624
```

=====

Number 1: N(E_F) 11.33 states/eV/cell, raw formation energy 1.981 eV/atom. Number 2: N(E_F) 10.96 states/eV/cell, raw formation energy 2.518 eV/atom. Number 3: N(E_F) 4.06 states/eV/cell, raw formation energy 1.471 eV/atom. Number 4: N(E_F) 4.76 states/eV/cell, raw formation energy 1.359 eV/atom. Number 5: N(E_F) 1.45 states/eV/cell, raw formation energy 1.840 eV/atom. Number 6: N(E_F) 9.95 states/eV/cell, raw formation energy 1.574 eV/atom.